[1]
! ZrInSe2Br, relaxed, DFT GGA-PBEsol; values from VASP
&SYSTEM
  ibrav = 0, nat = 5, ntyp = 4
/
ATOMIC_SPECIES
Se 78.96 Se.upf
Br 79.90 Br.upf
Zr 91.22 Zr.upf
In 114.82 In.upf
ATOMIC_POSITIONS angstrom
Se 1.218 -0.942 2.071
Se 0.440 -2.207 -1.262
Br -2.207 -0.938 0.871
Zr -0.549 -4.087 1.680
In 0.000 0.000 0.000
CELL_PARAMETERS angstrom
-4.414 -1.876 1.743
0.880 -4.415 -2.524
2.436 -1.883 4.142
! N(E_F): 5.594 states/eV per cell
! ΔE_f (raw): 22.4 kJ per mole of atoms
! magnetization: 0.33 μB per atom
! SG: P4/mmm (123)

[2]
! InSiBr, relaxed, DFT GGA-PBEsol; values from VASP
&SYSTEM
  ibrav = 0, nat = 3, ntyp = 3
/
ATOMIC_SPECIES
Si 28.09 Si.upf
Br 79.90 Br.upf
In 114.82 In.upf
ATOMIC_POSITIONS angstrom
Si -1.725 -1.901 -0.365
Br -0.861 0.389 2.048
In 0.578 -2.428 0.704
CELL_PARAMETERS angstrom
-4.028 -1.374 -1.433
2.881 -2.955 1.772
-1.723 0.778 4.097
! N(E_F): 1.516 states/eV per cell
! ΔE_f (raw): 20.7 kJ per mole of atoms
! magnetization: 0.00 μB per atom
! SG: P-6m2 (187)

[3]
! InSiBr2, relaxed, DFT GGA-PBEsol; values from VASP
&SYSTEM
  ibrav = 0, nat = 4, ntyp = 3
/
ATOMIC_SPECIES
Br 79.90 Br.upf
In 114.82 In.upf
Si 28.09 Si.upf
ATOMIC_POSITIONS angstrom
Br 1.793 2.109 6.662
Br 1.793 0.000 3.516
In 1.793 2.109 0.867
Si 0.000 2.109 3.126
CELL_PARAMETERS angstrom
3.586 0.000 0.000
0.000 4.219 0.000
-1.793 -2.109 7.085
! N(E_F): 0.836 states/eV per cell
! ΔE_f (raw): -5.5 kJ per mole of atoms
! relative energy among the computed polymorphs: 0.052 eV per atom
! magnetization: 0.00 μB per atom
! SG: Imm2 (44)

[4]
! InSiBr, relaxed, DFT GGA-PBEsol; values from VASP
&SYSTEM
  ibrav = 0, nat = 3, ntyp = 3
/
ATOMIC_SPECIES
Si 28.09 Si.upf
Br 79.90 Br.upf
In 114.82 In.upf
ATOMIC_POSITIONS angstrom
Si -1.664 2.266 0.917
Br 0.015 0.222 0.192
In -1.342 2.630 3.797
CELL_PARAMETERS angstrom
-1.988 1.864 -1.994
-1.365 -1.967 2.382
0.362 5.221 4.519
! N(E_F): 1.308 states/eV per cell
! ΔE_f (raw): 19.9 kJ per mole of atoms
! magnetization: 0.00 μB per atom
! SG: P3m1 (156)

[5]
! InSiBr2, relaxed, DFT GGA-PBEsol; values from VASP
&SYSTEM
  ibrav = 0, nat = 4, ntyp = 3
/
ATOMIC_SPECIES
Br 79.90 Br.upf
In 114.82 In.upf
Si 28.09 Si.upf
ATOMIC_POSITIONS angstrom
Br 1.841 2.464 2.025
Br 0.000 0.000 4.178
In 1.841 0.000 0.000
Si 0.000 2.464 0.000
CELL_PARAMETERS angstrom
3.681 0.000 0.000
0.000 4.929 0.000
-1.841 -2.464 6.203
! N(E_F): 1.971 states/eV per cell
! ΔE_f (raw): -10.5 kJ per mole of atoms
! relative energy among the computed polymorphs: 0.000 eV per atom
! magnetization: 0.00 μB per atom
! SG: Immm (71)

[6]
! InSiBr2, relaxed, DFT GGA-PBEsol; values from VASP
&SYSTEM
  ibrav = 0, nat = 4, ntyp = 3
/
ATOMIC_SPECIES
Br 79.90 Br.upf
In 114.82 In.upf
Si 28.09 Si.upf
ATOMIC_POSITIONS angstrom
Br -1.208 -1.901 2.192
Br -3.623 -5.704 6.577
In -2.416 -3.803 4.385
Si 0.000 0.000 0.000
CELL_PARAMETERS angstrom
-3.533 -3.604 0.937
1.037 -3.823 3.264
-2.335 -0.179 4.568
! N(E_F): 1.491 states/eV per cell
! ΔE_f (raw): 11.1 kJ per mole of atoms
! relative energy among the computed polymorphs: 0.224 eV per atom
! magnetization: 0.00 μB per atom
! SG: Fm-3m (225)

[7]
! InSnBr3, relaxed, DFT GGA-PBEsol; values from VASP
&SYSTEM
  ibrav = 0, nat = 40, ntyp = 3
/
ATOMIC_SPECIES
In 114.82 In.upf
Sn 118.71 Sn.upf
Br 79.90 Br.upf
ATOMIC_POSITIONS angstrom
In 3.086 -2.837 4.436
In -3.086 2.837 4.436
In 2.033 2.212 3.014
In 4.108 0.321 8.753
In -0.026 4.120 8.753
In 8.522 9.271 3.014
In -4.108 -0.321 8.753
In 0.026 -4.120 8.753
Sn 0.000 0.000 6.099
Sn 5.278 5.742 2.310
Sn -4.408 4.051 8.640
Sn 4.408 -4.051 8.640
Sn 5.774 -0.011 4.036
Sn -0.496 5.752 4.036
Sn -3.402 -3.701 6.000
Sn 3.402 3.701 6.000
Br -3.742 -4.072 8.726
Br 6.507 7.079 0.103
Br 3.742 4.072 8.726
Br 4.048 4.404 0.103
Br 5.278 5.742 5.626
Br 0.000 0.000 3.289
Br 2.381 -2.189 8.720
Br -2.381 2.189 8.720
Br 3.742 -0.458 2.123
Br 5.486 -2.260 6.703
Br 0.165 3.000 5.702
Br 8.181 5.925 3.260
Br 2.976 0.417 5.702
Br 5.216 8.650 3.260
Br -0.771 3.690 2.123
Br -2.713 5.277 6.703
Br 1.721 6.228 6.703
Br -0.221 7.815 2.123
Br 5.339 2.833 3.260
Br -2.976 -0.417 5.702
Br 2.374 5.559 3.260
Br -0.165 -3.000 5.702
Br 6.061 2.239 6.703
Br 7.806 0.437 2.123
CELL_PARAMETERS angstrom
11.548 -0.022 0.000
-0.993 11.505 0.000
-5.278 -5.742 8.785
! ΔE_f (raw): -64.5 kJ per mole of atoms
! magnetization: 0.00 μB per atom
! SG: Fmm2 (42)

[8]
! InSnBr3, relaxed, DFT GGA-PBEsol; values from VASP
&SYSTEM
  ibrav = 0, nat = 5, ntyp = 3
/
ATOMIC_SPECIES
Sn 118.71 Sn.upf
Br 79.90 Br.upf
In 114.82 In.upf
ATOMIC_POSITIONS angstrom
Sn 3.309 3.111 2.936
Br 3.269 3.074 0.076
Br 0.455 3.247 3.064
Br 3.269 0.254 3.064
In 5.784 5.439 5.132
CELL_PARAMETERS angstrom
5.782 -0.027 -0.026
0.329 5.772 -0.026
0.329 0.309 5.764
! ΔE_f (raw): -61.5 kJ per mole of atoms
! magnetization: 0.00 μB per atom
! SG: R3m (160)

[9]
! SrInBr2, relaxed, DFT GGA-PBEsol; values from VASP
&SYSTEM
  ibrav = 0, nat = 4, ntyp = 3
/
ATOMIC_SPECIES
Sr 87.62 Sr.upf
Br 79.90 Br.upf
In 114.82 In.upf
ATOMIC_POSITIONS angstrom
Sr 5.472 3.159 2.234
Br 2.736 1.580 1.117
Br 8.207 4.739 3.351
In 0.000 0.000 0.000
CELL_PARAMETERS angstrom
5.472 0.000 0.000
2.736 4.739 0.000
2.736 1.580 4.468
! N(E_F): 1.966 states/eV per cell
! ΔE_f (raw): -105.9 kJ per mole of atoms
! magnetization: 0.00 μB per atom
! SG: Fm-3m (225)

[10]
! InTc2Br, relaxed, DFT GGA-PBEsol; values from VASP
&SYSTEM
  ibrav = 0, nat = 4, ntyp = 3
/
ATOMIC_SPECIES
Tc 98.00 Tc.upf
Br 79.90 Br.upf
In 114.82 In.upf
ATOMIC_POSITIONS angstrom
Tc 0.253 -0.295 0.644
Tc 1.408 -3.943 6.188
Br 1.770 -2.060 4.495
In 0.795 -3.005 1.407
CELL_PARAMETERS angstrom
-2.116 -2.145 -0.150
1.920 -1.785 -1.574
1.725 -2.233 7.606
! N(E_F): 2.248 states/eV per cell
! ΔE_f (raw): 11.7 kJ per mole of atoms
! relative energy among the computed polymorphs: 0.000 eV per atom
! magnetization: 0.00 μB per atom
! SG: Amm2 (38)

[11]
! In3TcBr, relaxed, DFT GGA-PBEsol; values from VASP
&SYSTEM
  ibrav = 0, nat = 5, ntyp = 3
/
ATOMIC_SPECIES
Tc 98.00 Tc.upf
Br 79.90 Br.upf
In 114.82 In.upf
ATOMIC_POSITIONS angstrom
Tc 2.750 2.750 2.750
Br 0.000 0.000 0.000
In 0.000 2.750 0.000
In 0.000 0.000 2.750
In 2.750 0.000 0.000
CELL_PARAMETERS angstrom
5.501 0.000 0.000
0.000 5.501 0.000
0.000 0.000 5.501
! N(E_F): 3.990 states/eV per cell
! ΔE_f (raw): 131.4 kJ per mole of atoms
! magnetization: 0.75 μB per atom
! SG: Pm-3m (221)

[12]
! InTc2Br, relaxed, DFT GGA-PBEsol; values from VASP
&SYSTEM
  ibrav = 0, nat = 4, ntyp = 3
/
ATOMIC_SPECIES
Tc 98.00 Tc.upf
Br 79.90 Br.upf
In 114.82 In.upf
ATOMIC_POSITIONS angstrom
Tc 0.000 0.000 0.000
Tc 2.066 0.000 1.970
Br 2.066 2.066 0.000
In 0.000 2.066 1.970
CELL_PARAMETERS angstrom
4.132 0.000 0.000
0.000 4.132 0.000
-2.066 -2.066 3.939
! N(E_F): 4.277 states/eV per cell
! ΔE_f (raw): 87.8 kJ per mole of atoms
! relative energy among the computed polymorphs: 0.789 eV per atom
! magnetization: 0.00 μB per atom
! SG: I-4m2 (119)